No. 1
Hf2BePO: relaxed, GGA-PBEsol.

Values from the calculation:
- theoretical density (Mg/m³) = 10.6
- uncorrected formation energy (eV per atom) = -1.144

```
5
Lattice="4.438 0.000 0.000 0.000 4.438 0.000 0.000 0.000 3.285" Properties=species:S:1:pos:R:3 pbc="T T T"
Hf 0.000 2.219 0.000
Hf 2.219 0.000 0.000
Be 0.000 0.000 1.642
P 2.219 2.219 1.642
O 0.000 0.000 0.000
```



No. 2
HfBe3Os: relaxed, GGA-PBEsol.

Values from the calculation:
- DFT formation energy (eV per atom) = 2.413
- theoretical density (Mg/m³) = 8.6

```
5
Lattice="4.243 0.000 0.000 0.000 4.243 0.000 0.000 0.000 4.243" Properties=species:S:1:pos:R:3 pbc="T T T"
Hf 0.000 0.000 0.000
Be 0.000 0.000 2.121
Be 0.000 2.121 0.000
Be 2.121 0.000 0.000
Os 2.121 2.121 2.121
```



No. 3
Hf2Be2Os: relaxed, GGA-PBEsol.

Values from the calculation:
- DFT formation energy (eV per atom) = -0.380
- theoretical density (Mg/m³) = 13.4

```
10
Lattice="6.414 0.000 0.000 0.000 6.414 0.000 0.000 0.000 3.410" Properties=species:S:1:pos:R:3 pbc="T T T"
Hf 1.158 2.049 0.000
Hf 2.049 5.255 0.000
Hf 4.365 1.158 0.000
Hf 5.255 4.365 0.000
Be 0.754 3.961 1.705
Be 2.453 0.754 1.705
Be 3.961 5.659 1.705
Be 5.659 2.453 1.705
Os 0.000 0.000 1.705
Os 3.207 3.207 1.705
```